1.
# Pr2TmPu PBE relaxed
# Electronic total energy, eV per atom: -6.8052
# E above lowest polymorph, meV/atom: 166
# DOS(E_F), states/eV/atom: 2.89
# Calculated volume, Å³/atom: 32.74
data_Pr2TmPu
_symmetry_space_group_name_H-M 'R -3 m'
_symmetry_Int_Tables_number 166
_symmetry_space_group_name_Hall '-R 3 2"'
_cell_length_a 3.4890
_cell_length_b 3.4890
_cell_length_c 37.2651
_cell_angle_alpha 90.00
_cell_angle_beta 90.00
_cell_angle_gamma 120.00
loop_
_atom_site_label
_atom_site_type_symbol
_atom_site_fract_x
_atom_site_fract_y
_atom_site_fract_z
Pr1 Pr 0.0000 0.0000 0.0897
Tm1 Tm 0.0000 0.0000 0.0000
Pu1 Pu 0.0000 0.0000 0.5000

2.
# InSiTc2 PBE relaxed
# Electronic total energy, eV per atom: -7.2050
# E above lowest polymorph, meV/atom: 104
# DOS(E_F), states/eV/atom: 0.69
# Calculated volume, Å³/atom: 15.88
# Raw formation energy, eV per atom: 0.018
data_InSiTc2
_symmetry_space_group_name_H-M 'P 4 m m'
_symmetry_Int_Tables_number 99
_symmetry_space_group_name_Hall 'P 4 -2'
_cell_length_a 3.145
_cell_length_b 3.145
_cell_length_c 6.420
_cell_angle_alpha 90.00
_cell_angle_beta 90.00
_cell_angle_gamma 90.00
loop_
_atom_site_label
_atom_site_type_symbol
_atom_site_fract_x
_atom_site_fract_y
_atom_site_fract_z
In1 In 0.000 0.000 0.000
Si1 Si 0.500 0.500 0.302
Tc1 Tc 0.000 0.000 0.470
Tc2 Tc 0.500 0.500 0.729

3.
# AgGe2Rh2 PBE relaxed
# Electronic total energy, eV per atom: -5.6275
# E above lowest polymorph, meV/atom: 46
# DOS(E_F), states/eV/atom: 0.51
# Calculated volume, Å³/atom: 17.24
data_AgGe2Rh2
_symmetry_space_group_name_H-M 'I 4/m m m'
_symmetry_Int_Tables_number 139
_symmetry_space_group_name_Hall '-I 4 2'
_cell_length_a 4.127
_cell_length_b 4.127
_cell_length_c 10.121
_cell_angle_alpha 90.00
_cell_angle_beta 90.00
_cell_angle_gamma 90.00
loop_
_atom_site_label
_atom_site_type_symbol
_atom_site_fract_x
_atom_site_fract_y
_atom_site_fract_z
Ag1 Ag 0.000 0.000 0.000
Ge1 Ge 0.000 0.000 0.379
Rh1 Rh 0.000 0.500 0.250

4.
# Al2TcHIr PBE relaxed
# Electronic total energy, eV per atom: -6.3962
# DOS(E_F), states/eV/atom: 0.57
# Calculated volume, Å³/atom: 11.81
data_Al2TcHIr
_symmetry_space_group_name_H-M 'P 4/m m m'
_symmetry_Int_Tables_number 123
_symmetry_space_group_name_Hall '-P 4 2'
_cell_length_a 4.258
_cell_length_b 4.258
_cell_length_c 3.256
_cell_angle_alpha 90.00
_cell_angle_beta 90.00
_cell_angle_gamma 90.00
loop_
_atom_site_label
_atom_site_type_symbol
_atom_site_fract_x
_atom_site_fract_y
_atom_site_fract_z
Al1 Al 0.000 0.500 0.000
Tc1 Tc 0.000 0.000 0.500
H1 H 0.000 0.000 0.000
Ir1 Ir 0.500 0.500 0.500

5.
# AcPH2Ru PBE relaxed
# Electronic total energy, eV per atom: -5.6587
# DOS(E_F), states/eV/atom: 0.26
# Calculated volume, Å³/atom: 13.74
data_AcPH2Ru
_symmetry_space_group_name_H-M 'C m c m'
_symmetry_Int_Tables_number 63
_symmetry_space_group_name_Hall '-C 2c 2'
_cell_length_a 4.077
_cell_length_b 11.065
_cell_length_c 6.090
_cell_angle_alpha 90.00
_cell_angle_beta 90.00
_cell_angle_gamma 90.00
loop_
_atom_site_label
_atom_site_type_symbol
_atom_site_fract_x
_atom_site_fract_y
_atom_site_fract_z
Ac1 Ac 0.000 0.204 0.250
P1 P 0.000 0.070 0.750
H1 H 0.000 0.349 0.556
Ru1 Ru 0.000 0.500 0.000

6.
# Cs3Pr3PaTe8 PBE relaxed
# Electronic total energy, eV per atom: -4.7390
# DOS(E_F), states/eV/atom: 0.24
# Calculated volume, Å³/atom: 45.15
# Raw formation energy, eV per atom: -1.304
data_Cs3Pr3PaTe8
_symmetry_space_group_name_H-M 'C 1 2/m 1'
_symmetry_Int_Tables_number 12
_symmetry_space_group_name_Hall '-C 2y'
_cell_length_a 16.031
_cell_length_b 9.255
_cell_length_c 10.582
_cell_angle_alpha 90.00
_cell_angle_beta 120.38
_cell_angle_gamma 90.00
loop_
_atom_site_label
_atom_site_type_symbol
_atom_site_fract_x
_atom_site_fract_y
_atom_site_fract_z
Cs1 Cs 0.000 0.000 0.000
Cs2 Cs 0.250 0.250 0.000
Pr1 Pr 0.000 0.500 0.500
Pr2 Pr 0.250 0.250 0.500
Pa1 Pa 0.000 0.000 0.500
Te1 Te 0.017 0.242 0.310
Te2 Te 0.225 0.000 0.690
Te3 Te 0.232 0.500 0.696

7.
# Si3PbO PBE relaxed
# Electronic total energy, eV per atom: -3.0721
# E above lowest polymorph, meV/atom: 1617
# DOS(E_F), states/eV/atom: 0.86
# Calculated volume, Å³/atom: 30.77
# Raw formation energy, eV per atom: 1.915
data_Si3PbO
_symmetry_space_group_name_H-M 'P m -3 m'
_symmetry_Int_Tables_number 221
_symmetry_space_group_name_Hall '-P 4 2 3'
_cell_length_a 5.358
_cell_length_b 5.358
_cell_length_c 5.358
_cell_angle_alpha 90.00
_cell_angle_beta 90.00
_cell_angle_gamma 90.00
loop_
_atom_site_label
_atom_site_type_symbol
_atom_site_fract_x
_atom_site_fract_y
_atom_site_fract_z
Si1 Si 0.000 0.000 0.500
Pb1 Pb 0.000 0.000 0.000
O1 O 0.500 0.500 0.500

8.
# K2TlS PBE relaxed
# Electronic total energy, eV per atom: -2.5257
# E above lowest polymorph, meV/atom: 60
# DOS(E_F), states/eV/atom: 0.51
# Calculated volume, Å³/atom: 32.68
# Raw formation energy, eV per atom: -0.354
data_K2TlS
_symmetry_space_group_name_H-M 'F m -3 m'
_symmetry_Int_Tables_number 225
_symmetry_space_group_name_Hall '-F 4 2 3'
_cell_length_a 8.057
_cell_length_b 8.057
_cell_length_c 8.057
_cell_angle_alpha 90.00
_cell_angle_beta 90.00
_cell_angle_gamma 90.00
loop_
_atom_site_label
_atom_site_type_symbol
_atom_site_fract_x
_atom_site_fract_y
_atom_site_fract_z
K1 K 0.250 0.250 0.250
Tl1 Tl 0.000 0.000 0.000
S1 S 0.000 0.000 0.500

- Among the records above, which one has the highest calculated volume?
  Cs3Pr3PaTe8